1.
{"formula": "Mn3Sn5O12", "functional": "PBE+U", "state": "relaxed", "lattice_angstrom": [[-6.534, 6.534, 6.534], [6.534, -6.534, 6.534], [6.534, 6.534, -6.534]], "species": ["Mn", "Mn", "Mn", "Mn", "Mn", "Mn", "Mn", "Mn", "Mn", "Mn", "Mn", "Mn", "Sn", "Sn", "Sn", "Sn", "Sn", "Sn", "Sn", "Sn", "Sn", "Sn", "Sn", "Sn", "Sn", "Sn", "Sn", "Sn", "Sn", "Sn", "Sn", "Sn", "O", "O", "O", "O", "O", "O", "O", "O", "O", "O", "O", "O", "O", "O", "O", "O", "O", "O", "O", "O", "O", "O", "O", "O", "O", "O", "O", "O", "O", "O", "O", "O", "O", "O", "O", "O", "O", "O", "O", "O", "O", "O", "O", "O", "O", "O", "O", "O"], "fractional_positions": [[0.125, 0.250, 0.375], [0.125, 0.375, 0.750], [0.250, 0.375, 0.125], [0.250, 0.875, 0.625], [0.375, 0.125, 0.250], [0.375, 0.750, 0.125], [0.625, 0.250, 0.875], [0.625, 0.875, 0.750], [0.750, 0.125, 0.375], [0.750, 0.625, 0.875], [0.875, 0.625, 0.250], [0.875, 0.750, 0.625], [0.000, 0.000, 0.000], [0.000, 0.000, 0.500], [0.000, 0.500, 0.000], [0.000, 0.500, 0.500], [0.125, 0.750, 0.875], [0.125, 0.875, 0.250], [0.250, 0.125, 0.875], [0.250, 0.625, 0.375], [0.375, 0.250, 0.625], [0.375, 0.625, 0.750], [0.500, 0.000, 0.000], [0.500, 0.000, 0.500], [0.500, 0.500, 0.000], [0.500, 0.500, 0.500], [0.625, 0.375, 0.250], [0.625, 0.750, 0.375], [0.750, 0.375, 0.625], [0.750, 0.875, 0.125], [0.875, 0.125, 0.750], [0.875, 0.250, 0.125], [0.035, 0.206, 0.131], [0.035, 0.329, 0.904], [0.076, 0.706, 0.671], [0.076, 0.869, 0.404], [0.096, 0.631, 0.424], [0.096, 0.965, 0.671], [0.131, 0.035, 0.206], [0.131, 0.596, 0.924], [0.171, 0.206, 0.576], [0.171, 0.465, 0.596], [0.206, 0.131, 0.035], [0.206, 0.576, 0.171], [0.294, 0.329, 0.924], [0.294, 0.465, 0.369], [0.329, 0.904, 0.035], [0.329, 0.924, 0.294], [0.369, 0.294, 0.465], [0.369, 0.576, 0.904], [0.404, 0.076, 0.869], [0.404, 0.829, 0.535], [0.424, 0.096, 0.631], [0.424, 0.829, 0.794], [0.465, 0.369, 0.294], [0.465, 0.596, 0.171], [0.535, 0.404, 0.829], [0.535, 0.631, 0.706], [0.576, 0.171, 0.206], [0.576, 0.904, 0.369], [0.596, 0.171, 0.465], [0.596, 0.924, 0.131], [0.631, 0.424, 0.096], [0.631, 0.706, 0.535], [0.671, 0.076, 0.706], [0.671, 0.096, 0.965], [0.706, 0.535, 0.631], [0.706, 0.671, 0.076], [0.794, 0.424, 0.829], [0.794, 0.869, 0.965], [0.829, 0.535, 0.404], [0.829, 0.794, 0.424], [0.869, 0.404, 0.076], [0.869, 0.965, 0.794], [0.904, 0.035, 0.329], [0.904, 0.369, 0.576], [0.924, 0.131, 0.596], [0.924, 0.294, 0.329], [0.965, 0.671, 0.096], [0.965, 0.794, 0.869]], "density_g_cm3": 5.66, "dft_energy_ev_per_cell": -520.86, "sg": "No. 230"}

2.
{"formula": "SrMnSnWO6", "functional": "PBE+U", "state": "relaxed", "lattice_angstrom": [[0.000, 4.085, 4.085], [4.085, 0.000, 4.085], [4.085, 4.085, 0.000]], "species": ["Sr", "Mn", "Sn", "W", "O", "O", "O", "O", "O", "O"], "fractional_positions": [[0.000, 0.000, 0.000], [0.250, 0.250, 0.250], [0.500, 0.500, 0.500], [0.750, 0.750, 0.750], [0.512, 0.512, 0.988], [0.512, 0.988, 0.512], [0.512, 0.988, 0.988], [0.988, 0.512, 0.512], [0.988, 0.512, 0.988], [0.988, 0.988, 0.512]], "density_g_cm3": 6.59, "dft_energy_ev_per_cell": -69.87, "sg": "No. 216"}

3.
{"formula": "TaMnSnO6", "functional": "PBE+U", "state": "relaxed", "lattice_angstrom": [[5.271, 0.000, 0.000], [-2.635, 4.565, 0.000], [0.000, 0.000, 8.953]], "species": ["Ta", "Ta", "Mn", "Mn", "Sn", "Sn", "O", "O", "O", "O", "O", "O", "O", "O", "O", "O", "O", "O"], "fractional_positions": [[0.333, 0.667, 0.250], [0.667, 0.333, 0.750], [0.000, 0.000, 0.000], [0.000, 0.000, 0.500], [0.333, 0.667, 0.750], [0.667, 0.333, 0.250], [0.012, 0.346, 0.129], [0.012, 0.667, 0.371], [0.333, 0.346, 0.371], [0.333, 0.988, 0.129], [0.346, 0.012, 0.629], [0.346, 0.333, 0.871], [0.654, 0.667, 0.129], [0.654, 0.988, 0.371], [0.667, 0.012, 0.871], [0.667, 0.654, 0.629], [0.988, 0.333, 0.629], [0.988, 0.654, 0.871]], "density_g_cm3": 6.95, "dft_energy_ev_per_cell": -140.52, "sg": "No. 163"}

- Which formula does entry 3 have?
  TaMnSnO6

- What is the formula in the third record?
  TaMnSnO6

- Which formula does entry 2 have?
  SrMnSnWO6